Record 1
DFT (PBE-GGA) results for a relaxed structure of Pr3Sm2Y.

Lattice parameters (Å, degrees): 3.5913 6.9815 17.8664 79.43 84.23 75.10
With the nearest neighbours (Å) after each atom.
Atoms (fractional coordinates):
Pr  0.0645  0.0381  0.8328  3 Sm 3.54-3.68, 8 Pr 3.59-3.88, 2 Y 3.80
Pr  0.2697  0.1244  0.3361  4 Sm 3.41-3.60, 4 Pr 3.59-3.81, 3 Y 3.62
Pr  0.6265  0.7380  0.0090  3 Sm 3.49-3.62, 9 Pr 3.50-3.88
Pr  0.3735  0.2620  0.9910  3 Sm 3.49-3.62, 9 Pr 3.50-3.88
Pr  0.7303  0.8756  0.6639  4 Sm 3.41-3.60, 4 Pr 3.59-3.81, 3 Y 3.62
Pr  0.9355  0.9619  0.1672  3 Sm 3.54-3.68, 8 Pr 3.59-3.88, 2 Y 3.80
Sm  0.8018  0.5613  0.8352  7 Pr 3.41-3.68, 2 Y 3.59, 2 Sm 3.59
Sm  0.1982  0.4387  0.1648  7 Pr 3.41-3.68, 2 Y 3.59, 2 Sm 3.59
Sm  0.3684  0.7628  0.5004  3 Pr 3.49-3.60, 5 Sm 3.55-3.67, 2 Y 3.57-3.68
Sm  0.6316  0.2372  0.4996  3 Pr 3.49-3.60, 5 Sm 3.55-3.67, 2 Y 3.57-3.68
Y  0.4578  0.4040  0.6803  4 Sm 3.57-3.68, 2 Y 3.59, 5 Pr 3.62-3.80
Y  0.5422  0.5960  0.3197  4 Sm 3.57-3.68, 2 Y 3.59, 5 Pr 3.62-3.80

E ... -4.9364 eV/atom
Formation enthalpy at 0 K ... 0.10 eV per atom
Magnetization ... 0.00 Bohr magnetons per cell
ΔE to the lowest computed polymorph ... 52 meV/atom
Density ... 6.35 g/cm³


Record 2
DFT (PBE-GGA) results for a relaxed structure of Pr6Sm5Y.

Lattice parameters (Å, degrees): 12.1036 6.3677 6.3711 60.02 84.95 79.86
With the nearest neighbours (Å) after each atom.
Atoms (fractional coordinates):
Pr  0.7503  0.7495  0.0000  5 Sm 3.65-3.66, 1 Y 3.66, 6 Pr 3.68
Pr  0.2497  0.2505  0.0000  5 Sm 3.65-3.66, 1 Y 3.66, 6 Pr 3.68
Pr  0.7505  0.4166  0.6665  5 Sm 3.65-3.66, 1 Y 3.65, 6 Pr 3.68
Pr  0.7505  0.0831  0.3335  5 Sm 3.65-3.66, 1 Y 3.65, 6 Pr 3.68
Pr  0.2495  0.9169  0.6665  5 Sm 3.65-3.66, 1 Y 3.65, 6 Pr 3.68
Pr  0.2495  0.5834  0.3335  5 Sm 3.65-3.66, 1 Y 3.65, 6 Pr 3.68
Sm  0.5000  0.8334  0.3331  6 Pr 3.66, 6 Sm 3.68
Sm  0.0000  0.6668  0.6664  6 Pr 3.65, 3 Sm 3.68, 3 Y 3.68
Sm  0.5000  0.1666  0.6669  6 Pr 3.66, 6 Sm 3.68
Sm  0.5000  0.5000  0.0000  6 Pr 3.66, 6 Sm 3.68
Sm  0.0000  0.3332  0.3336  6 Pr 3.65, 3 Sm 3.68, 3 Y 3.68
Y  0.0000  0.0000  0.0000  6 Pr 3.65-3.66, 6 Sm 3.68

E ... -4.8841 eV/atom
Formation enthalpy at 0 K ... 0.01 eV per atom
Magnetization ... 0.00 Bohr magnetons per cell
Density ... 6.69 g/cm³


Record 3
DFT (PBE-GGA) results for a relaxed structure of PrSm8Y6.

Lattice parameters (Å, degrees): 9.1528 9.1528 8.7470 58.45 58.45 60.00
With the nearest neighbours (Å) after each atom.
Atoms (fractional coordinates):
Y  0.7542  0.4634  0.8813  3 Sm 3.39-3.45, 1 Pr 3.52, 2 Y 3.53
Y  0.5366  0.0989  0.1187  3 Sm 3.39-3.45, 1 Pr 3.52, 2 Y 3.53
Y  0.0989  0.2458  0.1187  3 Sm 3.39-3.45, 1 Pr 3.52, 2 Y 3.53
Y  0.4634  0.9011  0.8813  3 Sm 3.39-3.45, 1 Pr 3.52, 2 Y 3.53
Y  0.2458  0.5366  0.1187  3 Sm 3.39-3.45, 1 Pr 3.52, 2 Y 3.53
Y  0.9011  0.7542  0.8813  3 Sm 3.39-3.45, 1 Pr 3.52, 2 Y 3.53
Sm  0.1124  0.7488  0.4214  3 Y 3.45-3.86, 5 Sm 3.45-3.48, 1 Pr 3.56
Sm  0.8876  0.2512  0.5786  3 Y 3.45-3.86, 5 Sm 3.45-3.48, 1 Pr 3.56
Sm  0.7488  0.7174  0.4214  3 Y 3.45-3.86, 5 Sm 3.45-3.48, 1 Pr 3.56
Sm  0.2826  0.8876  0.5786  3 Y 3.45-3.86, 5 Sm 3.45-3.48, 1 Pr 3.56
Sm  0.5768  0.5768  0.2697  4 Sm 3.21-3.45, 3 Y 3.39
Sm  0.4232  0.4232  0.7303  4 Sm 3.21-3.45, 3 Y 3.39
Sm  0.2512  0.2826  0.5786  3 Y 3.45-3.86, 5 Sm 3.45-3.48, 1 Pr 3.56
Sm  0.7174  0.1124  0.4214  3 Y 3.45-3.86, 5 Sm 3.45-3.48, 1 Pr 3.56
Pr  0.0000  0.0000  0.0000  6 Y 3.52, 6 Sm 3.56

E ... -5.3015 eV/atom
Formation enthalpy at 0 K ... 0.12 eV per atom
Magnetization ... 0.00 Bohr magnetons per cell
Density ... 6.16 g/cm³


Record 4
DFT (PBE-GGA) results for a relaxed structure of Pr7Sm3Y2.

Lattice parameters (Å, degrees): 3.6052 6.5756 18.4156 75.10 90.00 90.00
With the nearest neighbours (Å) after each atom.
Atoms (fractional coordinates):
Pr  0.5000  0.9470  0.8291  1 Y 3.56, 8 Pr 3.61-3.76, 3 Sm 3.70-3.71
Pr  0.0000  0.0000  0.0000  8 Pr 3.61-3.72, 4 Sm 3.75
Pr  0.0000  0.5573  0.1679  2 Y 3.59, 7 Pr 3.61-3.76, 3 Sm 3.68-3.70
Pr  0.5000  0.2369  0.5058  2 Pr 3.18-3.41, 2 Y 3.41-3.52
Pr  0.5000  0.7631  0.4942  2 Pr 3.18-3.41, 2 Y 3.41-3.52
Pr  0.0000  0.4427  0.8321  2 Y 3.59, 7 Pr 3.61-3.76, 3 Sm 3.68-3.70
Pr  0.5000  0.0530  0.1709  1 Y 3.56, 8 Pr 3.61-3.76, 3 Sm 3.70-3.71
Sm  0.5000  0.5000  0.0000  2 Sm 3.61, 10 Pr 3.68-3.75
Sm  0.0000  0.8843  0.6609  2 Sm 3.61, 7 Pr 3.66-3.82, 4 Y 3.69-3.81
Sm  0.0000  0.1157  0.3391  2 Sm 3.61, 7 Pr 3.66-3.82, 4 Y 3.69-3.81
Y  0.5000  0.3882  0.6696  5 Pr 3.41-3.59, 2 Y 3.61, 4 Sm 3.69-3.81
Y  0.5000  0.6118  0.3304  5 Pr 3.41-3.59, 2 Y 3.61, 4 Sm 3.69-3.81

E ... -4.9754 eV/atom
Formation enthalpy at 0 K ... 0.07 eV per atom
Magnetization ... 0.00 Bohr magnetons per cell
ΔE to the lowest computed polymorph ... 0 meV/atom
Density ... 6.36 g/cm³


Record 5
DFT (PBE-GGA) results for a relaxed structure of PrSm2Y.

Lattice parameters (Å, degrees): 4.2899 4.2899 7.4203 90.00 90.00 90.00
With the nearest neighbours (Å) after each atom.
Atoms (fractional coordinates):
Pr  0.5000  0.5000  0.5000  8 Sm 3.57, 2 Y 3.71
Sm  0.0000  0.0000  0.2459  4 Y 3.54, 4 Pr 3.57, 2 Sm 3.65-3.77
Sm  0.0000  0.0000  0.7541  4 Y 3.54, 4 Pr 3.57, 2 Sm 3.65-3.77
Y  0.5000  0.5000  0.0000  8 Sm 3.54, 2 Pr 3.71

E ... -5.0543 eV/atom
Formation enthalpy at 0 K ... 0.12 eV per atom
Magnetization ... 0.00 Bohr magnetons per cell
ΔE to the lowest computed polymorph ... 107 meV/atom
Density ... 6.45 g/cm³


Record 6
DFT (PBE-GGA) results for a relaxed structure of PrSm2Y9.

Lattice parameters (Å, degrees): 5.0814 5.0814 15.2352 90.00 90.00 90.00
With the nearest neighbours (Å) after each atom.
Atoms (fractional coordinates):
Y  0.0000  0.5000  0.5000  8 Y 3.58-3.59, 4 Sm 3.59
Y  0.5000  0.5000  0.6659  8 Y 3.58-3.59, 4 Sm 3.59
Y  0.5000  0.5000  0.0000  4 Pr 3.59, 8 Y 3.61
Y  0.5000  0.0000  0.8320  2 Sm 3.58, 8 Y 3.59-3.61, 2 Pr 3.61
Y  0.5000  0.5000  0.3341  8 Y 3.58-3.59, 4 Sm 3.59
Y  0.0000  0.5000  0.1680  2 Sm 3.58, 8 Y 3.59-3.61, 2 Pr 3.61
Y  0.5000  0.0000  0.1680  2 Sm 3.58, 8 Y 3.59-3.61, 2 Pr 3.61
Y  0.5000  0.0000  0.5000  8 Y 3.58-3.59, 4 Sm 3.59
Y  0.0000  0.5000  0.8320  2 Sm 3.58, 8 Y 3.59-3.61, 2 Pr 3.61
Sm  0.0000  0.0000  0.3338  12 Y 3.58-3.59
Sm  0.0000  0.0000  0.6662  12 Y 3.58-3.59
Pr  0.0000  0.0000  0.0000  12 Y 3.59-3.61

E ... -6.0101 eV/atom
Formation enthalpy at 0 K ... 0.02 eV per atom
Magnetization ... 0.00 Bohr magnetons per cell
Density ... 5.24 g/cm³


Record 7
DFT (PBE-GGA) results for a relaxed structure of Pr6Sm3Y.

Lattice parameters (Å, degrees): 7.1984 12.9308 6.7704 128.52 122.11 90.00
With the nearest neighbours (Å) after each atom.
Atoms (fractional coordinates):
Pr  0.2800  0.3103  0.1104  2 Sm 3.23-3.60, 4 Pr 3.24-3.49, 1 Y 3.55
Pr  0.7200  0.6897  0.8896  2 Sm 3.23-3.60, 4 Pr 3.24-3.49, 1 Y 3.55
Pr  0.6655  0.0066  0.3310  2 Sm 3.37-3.70, 5 Pr 3.45-3.67
Pr  0.8304  0.3103  0.1104  2 Sm 3.23-3.60, 4 Pr 3.24-3.49, 1 Y 3.55
Pr  0.1696  0.6897  0.8896  2 Sm 3.23-3.60, 4 Pr 3.24-3.49, 1 Y 3.55
Pr  0.3345  0.9934  0.6690  2 Sm 3.37-3.70, 5 Pr 3.45-3.67
Sm  0.1958  0.6561  0.3916  1 Sm 3.13, 3 Pr 3.23-3.37
Sm  0.0000  0.0000  0.0000  10 Pr 3.90-4.04
Sm  0.8042  0.3439  0.6084  1 Sm 3.13, 3 Pr 3.23-3.37
Y  0.5000  0.5000  0.0000  4 Pr 3.55, 4 Sm 3.92

E ... -4.6794 eV/atom
Formation enthalpy at 0 K ... 0.25 eV per atom
Magnetization ... 0.00 Bohr magnetons per cell
ΔE to the lowest computed polymorph ... 116 meV/atom
Density ... 6.36 g/cm³


Record 8
DFT (PBE-GGA) results for a relaxed structure of Pr7SmY4.

Lattice parameters (Å, degrees): 6.0808 9.8738 8.7435 61.23 69.65 72.07
With the nearest neighbours (Å) after each atom.
Atoms (fractional coordinates):
Pr  0.0847  0.5523  0.2782  3 Pr 3.35-3.72, 3 Y 3.51-3.60
Pr  0.7895  0.2335  0.1874  1 Sm 3.16, 2 Y 3.26-3.33, 2 Pr 3.36-3.49
Pr  0.2124  0.1173  0.4579  6 Pr 3.36-3.72, 2 Y 3.75
Pr  0.7876  0.8827  0.5421  6 Pr 3.36-3.72, 2 Y 3.75
Pr  0.9153  0.4477  0.7218  3 Pr 3.35-3.72, 3 Y 3.51-3.60
Pr  0.2105  0.7665  0.8126  1 Sm 3.16, 2 Y 3.26-3.33, 2 Pr 3.36-3.49
Pr  0.5000  0.0000  0.0000  2 Sm 3.04
Sm  0.0000  0.0000  0.0000  4 Pr 3.04-3.16
Y  0.5717  0.3012  0.5554  2 Pr 3.33-3.55, 2 Y 3.45-3.68
Y  0.3297  0.3860  0.9547  7 Pr 3.26-3.60
Y  0.6703  0.6140  0.0453  7 Pr 3.26-3.60
Y  0.4283  0.6988  0.4446  2 Pr 3.33-3.55, 2 Y 3.45-3.68

E ... -5.1381 eV/atom
Formation enthalpy at 0 K ... 0.20 eV per atom
Magnetization ... 0.10 Bohr magnetons per cell
ΔE to the lowest computed polymorph ... 64 meV/atom
Density ... 5.83 g/cm³